Record 1
FeTcAg2: optimized geometry, GGA-PBE.

```
FeTcAg2
1.0
2.706 -0.016 0.000
-0.959 2.530 0.000
0.000 0.000 9.166
Ag Fe Tc
2 1 1
Direct
0.000 0.000 0.994
0.500 0.500 0.265
0.000 0.000 0.514
0.500 0.500 0.726
```

Calculated values
Crystal system ... orthorhombic
E_form ... 1.30 eV per formula unit
Excess energy over the best structure of this formula in the dataset ... 24 meV/atom

---

Record 2
Mg4In2Hg: optimized geometry, GGA-PBE.

```
Mg4In2Hg
1.0
-2.980 2.201 2.857
-1.386 -4.742 -1.622
7.005 -6.172 12.061
Mg In Hg
8 4 2
Direct
0.877 0.754 0.146
0.877 0.754 0.354
0.123 0.246 0.854
0.123 0.246 0.646
0.814 0.627 0.750
0.186 0.373 0.250
0.500 0.000 0.000
0.500 0.000 0.500
0.188 0.376 0.442
0.812 0.624 0.942
0.188 0.376 0.058
0.812 0.624 0.558
0.497 0.995 0.750
0.503 0.005 0.250
```

Calculated values
Crystal system ... orthorhombic
E_form ... -0.58 eV per formula unit
Excess energy over the best structure of this formula in the dataset ... 0 meV/atom

---

Record 3
Fe2CoC: optimized geometry, GGA-PBE.

```
Fe2CoC
1.0
4.502 0.000 0.000
0.000 5.006 0.000
0.000 0.000 6.676
Fe Co C
8 4 4
Direct
0.168 0.678 0.069
0.332 0.178 0.431
0.832 0.322 0.569
0.668 0.822 0.931
0.832 0.322 0.931
0.668 0.822 0.569
0.168 0.678 0.431
0.332 0.178 0.069
0.657 0.536 0.250
0.843 0.036 0.250
0.343 0.464 0.750
0.157 0.964 0.750
0.049 0.374 0.250
0.451 0.874 0.250
0.951 0.626 0.750
0.549 0.126 0.750
```

Calculated values
Crystal system ... orthorhombic
E_form ... 0.27 eV per formula unit

---

Record 4
LaMnRh2: optimized geometry, GGA-PBE.

```
LaMnRh2
1.0
-6.162 1.883 -6.980
-5.351 -0.907 -7.796
-7.540 -0.507 -5.757
La Mn Rh
1 1 2
Direct
0.504 0.504 0.504
0.734 0.734 0.734
0.003 0.003 0.003
0.259 0.259 0.259
```

Calculated values
Crystal system ... trigonal
E_form ... 1.63 eV per formula unit

---

Record 5
Pm2ErPaAs5: optimized geometry, GGA-PBE.

```
Pm2ErPaAs5
1.0
5.085 0.000 0.000
0.000 5.085 0.000
0.000 0.000 10.856
Pm Er Pa As
2 1 1 5
Direct
0.500 0.500 0.272
0.500 0.500 0.728
0.000 0.000 0.000
0.000 0.000 0.500
0.000 0.500 0.500
0.500 0.000 0.500
0.000 0.000 0.755
0.000 0.000 0.245
0.500 0.500 0.000
```

Calculated values
Crystal system ... tetragonal
E_form ... -5.21 eV per formula unit

---

Record 6
LiBe2W2: optimized geometry, GGA-PBE.

```
LiBe2W2
1.0
5.911 0.000 0.000
0.000 5.911 0.000
0.000 0.000 3.378
Be W Li
4 4 2
Direct
0.380 0.880 0.000
0.880 0.620 0.000
0.620 0.120 0.000
0.120 0.380 0.000
0.177 0.677 0.500
0.677 0.823 0.500
0.823 0.323 0.500
0.323 0.177 0.500
0.000 0.000 0.000
0.500 0.500 0.000
```

Calculated values
Crystal system ... tetragonal
E_form ... 1.48 eV per formula unit

---

Record 7
BaSc2As: optimized geometry, GGA-PBE.

```
BaSc2As
1.0
-8.812 -2.462 3.152
-7.750 -5.664 1.227
-6.588 -5.127 4.895
As Ba Sc
1 1 2
Direct
0.250 0.250 0.250
0.750 0.750 0.750
0.969 0.969 0.969
0.531 0.531 0.531
```

Calculated values
Crystal system ... trigonal
E_form ... -1.84 eV per formula unit

---

Record 8
NbTcB: optimized geometry, GGA-PBE.

```
NbTcB
1.0
3.183 0.000 0.000
0.000 6.463 0.000
0.000 0.000 11.048
Nb Tc B
6 6 6
Direct
0.000 0.228 0.954
0.000 0.772 0.046
0.000 0.228 0.546
0.000 0.772 0.454
0.000 0.145 0.250
0.000 0.855 0.750
0.500 0.424 0.122
0.500 0.576 0.878
0.500 0.424 0.378
0.500 0.576 0.622
0.500 0.801 0.250
0.500 0.199 0.750
0.500 0.052 0.085
0.500 0.948 0.915
0.500 0.052 0.415
0.500 0.948 0.585
0.000 0.548 0.250
0.000 0.452 0.750
```

Calculated values
Crystal system ... orthorhombic
E_form ... -1.69 eV per formula unit
Excess energy over the best structure of this formula in the dataset ... 0 meV/atom

---

Record 9
Sm2Hg5Pb: optimized geometry, GGA-PBE.

```
Sm2Hg5Pb
1.0
4.584 0.000 0.000
0.000 6.700 0.000
0.000 0.000 13.450
Sm Hg Pb
4 10 2
Direct
0.500 0.237 0.623
0.500 0.763 0.377
0.500 0.263 0.123
0.500 0.737 0.877
0.000 0.000 0.000
0.000 0.500 0.500
0.000 0.481 0.748
0.000 0.519 0.252
0.000 0.019 0.248
0.000 0.981 0.752
0.500 0.234 0.870
0.500 0.766 0.130
0.500 0.266 0.370
0.500 0.734 0.630
0.000 0.000 0.500
0.000 0.500 0.000
```

Calculated values
Crystal system ... orthorhombic
E_form ... -2.92 eV per formula unit

---

Record 10
UGa2Au: optimized geometry, GGA-PBE.

```
UGa2Au
1.0
-4.472 1.026 3.627
-4.206 0.087 -5.210
-1.195 -8.141 0.829
U Ga Au
4 8 4
Direct
0.398 0.250 0.031
0.898 0.750 0.469
0.602 0.750 0.969
0.102 0.250 0.531
0.876 0.051 0.202
0.376 0.949 0.298
0.124 0.551 0.798
0.624 0.449 0.702
0.124 0.949 0.798
0.624 0.051 0.702
0.876 0.449 0.202
0.376 0.551 0.298
0.609 0.250 0.421
0.109 0.750 0.079
0.391 0.750 0.579
0.891 0.250 0.921
```

Calculated values
Crystal system ... orthorhombic
E_form ... -0.44 eV per formula unit

---

Listing calculated density for the structures above in their given order: 9.8, 5.3, 8.1, 9.0, 6.3, 11.0, 4.1, 8.8, 12.1, 11.8 g/cm3.
Listing total moment for the structures above in their given order: 2.62, 0.00, 19.36, 2.88, 0.00, 0.00, 0.00, 0.00, 0.00, 11.73 μB per cell.